Record 1
PBE-GGA Tb3Fe7Si2, relaxed; uncorrected energy = -7.311 eV/atom; total magnetization = 0.896 μB per atom
1.0
-4.830 -1.805 0.188
-0.952 -4.943 -1.131
-0.912 -4.177 7.253
Tb Fe Si
3 7 2
Direct
0.000 0.000 0.000
0.858 0.858 0.425
0.142 0.142 0.575
0.500 0.500 0.500
0.917 0.423 0.238
0.423 0.917 0.238
0.423 0.423 0.238
0.083 0.577 0.762
0.577 0.577 0.762
0.577 0.083 0.762
0.668 0.668 0.996
0.332 0.332 0.004

Record 2
PBE-GGA Tb2FeSi2, relaxed; uncorrected energy = -6.406 eV/atom; total magnetization = 0.000 μB per atom
1.0
-1.597 -2.525 2.872
-3.891 -3.491 -2.243
5.232 -7.262 -0.487
Si Tb Fe
4 4 2
Direct
0.498 0.876 0.128
0.658 0.249 0.435
0.502 0.124 0.872
0.342 0.751 0.565
0.189 0.730 0.892
0.998 0.331 0.672
0.811 0.270 0.108
0.002 0.669 0.328
0.272 0.078 0.377
0.728 0.922 0.623

Record 3
PBE-GGA TbFeSi2, relaxed; uncorrected energy = -6.643 eV/atom; total magnetization = 0.000 μB per atom
1.0
-2.738 -2.461 -1.289
-1.257 -2.894 2.293
-4.895 1.218 2.172
Si Tb Fe
2 1 1
Direct
0.707 0.707 0.878
0.293 0.293 0.122
0.500 0.500 0.500
0.000 0.000 0.000

ΔE_f (raw) for the records above, in order: -313 -692 -659 meV/atom
Fermi-level density of states for the records above, in order: 7.6 5.9 3.2 states/eV/cell